VASP calculation (PBE) on an optimized crystal structure of YZr3Ta.

Properties
V = 28.09 Å³/atom
spin magnetization = 0.000 μB/atom
Fermi-level density of states = 12.43 states/eV/f.u.
calculated formation energy = 0.670 eV/atom
electronic total energy = -8.123 eV per atom
distance to the lowest polymorph of the same formula = 0 meV per atom

Lattice parameters (Å, degrees): 5.1982 5.1982 5.1982 90.00 90.00 90.00
Fractional positions:
1 Y 0.0000 0.0000 0.0000
2 Zr 0.0000 0.5000 0.5000
3 Zr 0.5000 0.0000 0.5000
4 Zr 0.5000 0.5000 0.0000
5 Ta 0.5000 0.5000 0.5000


VASP calculation (PBE) on an optimized crystal structure of Li5Fe2Pd12.

Properties
V = 14.84 Å³/atom
spin magnetization = 0.441 μB/atom
Fermi-level density of states = 10.28 states/eV/f.u.
calculated formation energy = -0.226 eV/atom
electronic total energy = -4.900 eV per atom

Lattice parameters (Å, degrees): 8.2177 8.2177 4.7615 102.45 102.45 65.07
Fractional positions:
1 Li 0.0000 0.0000 0.0000
2 Li 0.2100 0.2100 0.0484
3 Li 0.3289 0.3289 0.6389
4 Li 0.6711 0.6711 0.3611
5 Li 0.7900 0.7900 0.9516
6 Fe 0.2507 0.7493 0.5000
7 Fe 0.7493 0.2507 0.5000
8 Pd 0.0631 0.5410 0.2932
9 Pd 0.1018 0.1018 0.5099
10 Pd 0.1458 0.6555 0.8777
11 Pd 0.3445 0.8542 0.1223
12 Pd 0.4412 0.4412 0.2178
13 Pd 0.4590 0.9369 0.7068
14 Pd 0.5410 0.0631 0.2932
15 Pd 0.5588 0.5588 0.7822
16 Pd 0.6555 0.1458 0.8777
17 Pd 0.8542 0.3445 0.1223
18 Pd 0.8982 0.8982 0.4901
19 Pd 0.9369 0.4590 0.7068


VASP calculation (PBE) on an optimized crystal structure of La2DyTl3Te6.

Properties
V = 37.28 Å³/atom
spin magnetization = 0.000 μB/atom
electronic total energy = -4.486 eV per atom
ΔE_f (raw) = -1119 meV/atom

Lattice parameters (Å, degrees): 7.9601 7.9601 8.5713 98.91 98.91 119.98
Fractional positions:
1 La 0.1663 0.8337 0.0000
2 La 0.8337 0.1663 0.0000
3 Dy 0.5000 0.5000 0.0000
4 Tl 0.0000 0.0000 0.5000
5 Tl 0.3309 0.6691 0.5000
6 Tl 0.6691 0.3309 0.5000
7 Te 0.1053 0.4275 0.7822
8 Te 0.2517 0.2517 0.2206
9 Te 0.4275 0.1053 0.7822
10 Te 0.5725 0.8947 0.2178
11 Te 0.7483 0.7483 0.7794
12 Te 0.8947 0.5725 0.2178


VASP calculation (PBE) on an optimized crystal structure of Mg3Tc.

Properties
V = 35.58 Å³/atom
spin magnetization = 0.441 μB/atom
Fermi-level density of states = 6.29 states/eV/f.u.
calculated formation energy = 1.065 eV/atom
electronic total energy = -2.723 eV per atom

Lattice parameters (Å, degrees): 5.2209 5.2209 5.2209 90.00 90.00 90.00
Fractional positions:
1 Mg 0.0000 0.0000 0.5000
2 Mg 0.0000 0.5000 0.0000
3 Mg 0.5000 0.0000 0.0000
4 Tc 0.0000 0.0000 0.0000